Compound: Sr2LiAcO4
Source: the Alexandria database
Functional: PBE
Structure: optimized geometry

POSCAR file:
```
Sr2LiAcO4
1.0
6.1046 0.0000 0.0000
0.0000 3.7511 0.0000
-1.8332 0.0000 6.0048
Sr Li Ac O
2 1 1 4
Direct
0.0000 0.0000 0.0000
0.5000 0.5000 0.0000
0.0000 0.5000 0.5000
0.5000 0.0000 0.5000
0.2495 0.5000 0.2644
0.2706 0.0000 0.7643
0.7294 0.0000 0.2357
0.7505 0.5000 0.7356
```

Properties
ΔE_f (raw)   -2010 kJ/mol of formula units
Density of states at the Fermi level   0.000 states/eV/atom

Compound: SrLiAcO3
Source: the Alexandria database
Functional: PBE
Structure: optimized geometry

POSCAR file:
```
SrLiAcO3
1.0
1.8096 -5.5070 0.0000
1.8096 5.5070 0.0000
0.0000 0.0000 10.0155
Sr Li Ac O
2 2 2 6
Direct
0.2454 0.7546 0.7500
0.7546 0.2454 0.2500
0.4789 0.5211 0.2500
0.5211 0.4789 0.7500
0.0000 0.0000 0.0000
0.0000 0.0000 0.5000
0.0782 0.9218 0.2500
0.3733 0.6267 0.0984
0.3733 0.6267 0.4016
0.6267 0.3733 0.5984
0.6267 0.3733 0.9016
0.9218 0.0782 0.7500
```

Properties
ΔE_f (raw)   -1524 kJ/mol of formula units
Density of states at the Fermi level   0.000 states/eV/atom

Compound: Li3AcTa4O12
Source: the Alexandria database
Functional: PBE
Structure: optimized geometry

POSCAR file:
```
Li3AcTa4O12
1.0
-3.8970 3.8970 3.8970
3.8970 -3.8970 3.8970
3.8970 3.8970 -3.8970
Li Ac Ta O
3 1 4 12
Direct
0.0000 0.5000 0.5000
0.5000 0.0000 0.5000
0.5000 0.5000 0.0000
0.0000 0.0000 0.0000
0.0000 0.0000 0.5000
0.0000 0.5000 0.0000
0.5000 0.0000 0.0000
0.5000 0.5000 0.5000
0.0993 0.2923 0.8070
0.1930 0.4853 0.2923
0.1930 0.9007 0.7077
0.2923 0.1930 0.4853
0.2923 0.8070 0.0993
0.4853 0.2923 0.1930
0.5147 0.7077 0.8070
0.7077 0.1930 0.9007
0.7077 0.8070 0.5147
0.8070 0.0993 0.2923
0.8070 0.5147 0.7077
0.9007 0.7077 0.1930
```

Properties
ΔE_f (raw)   -5293 kJ/mol of formula units
Density of states at the Fermi level   0.238 states/eV/atom

Compound: LiAc2TaO6
Source: the Alexandria database
Functional: PBE
Structure: optimized geometry

POSCAR file:
```
LiAc2TaO6
1.0
5.7930 0.0000 0.0000
0.0000 5.8785 0.0000
-5.7827 0.0000 8.1619
Li Ac Ta O
2 4 2 12
Direct
0.0000 0.0000 0.0000
0.0000 0.5000 0.5000
0.2414 0.0421 0.7487
0.2414 0.4579 0.2487
0.7586 0.5421 0.7513
0.7586 0.9579 0.2513
0.5000 0.0000 0.5000
0.5000 0.5000 0.0000
0.1822 0.1964 0.4597
0.1822 0.3036 0.9597
0.2603 0.7227 0.4545
0.2603 0.7773 0.9545
0.3425 0.0249 0.2615
0.3425 0.4751 0.7615
0.6575 0.5249 0.2385
0.6575 0.9751 0.7385
0.7397 0.2227 0.0455
0.7397 0.2773 0.5455
0.8178 0.6964 0.0403
0.8178 0.8036 0.5403
```

Properties
ΔE_f (raw)   -3001 kJ/mol of formula units
Density of states at the Fermi level   0.000 states/eV/atom

Compound: Li2Ac3TaO9
Source: the Alexandria database
Functional: PBE
Structure: optimized geometry

POSCAR file:
```
Li2Ac3TaO9
1.0
5.6331 0.0000 0.0000
-2.8166 4.8784 0.0000
0.0000 0.0000 7.0542
Li Ac Ta O
2 3 1 9
Direct
0.3333 0.6667 0.1883
0.6667 0.3333 0.8117
0.0000 0.0000 0.0000
0.3333 0.6667 0.7015
0.6667 0.3333 0.2985
0.0000 0.0000 0.5000
0.0000 0.5000 0.0000
0.1632 0.3265 0.3335
0.1632 0.8368 0.3335
0.3265 0.1632 0.6665
0.5000 0.0000 0.0000
0.5000 0.5000 0.0000
0.6735 0.8368 0.3335
0.8368 0.1632 0.6665
0.8368 0.6735 0.6665
```

Properties
ΔE_f (raw)   -3894 kJ/mol of formula units
Density of states at the Fermi level   0.648 states/eV/atom

Compound: LiAcTa2O7
Source: the Alexandria database
Functional: PBE
Structure: optimized geometry

POSCAR file:
```
LiAcTa2O7
1.0
3.8923 0.0000 0.0000
0.0000 3.8923 0.0000
0.0000 0.0000 11.2786
Li Ac Ta O
1 1 2 7
Direct
0.0000 0.0000 0.0000
0.0000 0.0000 0.5000
0.5000 0.5000 0.2857
0.5000 0.5000 0.7143
0.0000 0.5000 0.3249
0.0000 0.5000 0.6751
0.5000 0.0000 0.3249
0.5000 0.0000 0.6751
0.5000 0.5000 0.1259
0.5000 0.5000 0.5000
0.5000 0.5000 0.8741
```

Properties
ΔE_f (raw)   -2976 kJ/mol of formula units
Density of states at the Fermi level   0.000 states/eV/atom

Compound: Li2Ac3TcO9
Source: the Alexandria database
Functional: PBE
Structure: optimized geometry

POSCAR file:
```
Li2Ac3TcO9
1.0
5.6696 0.0000 0.0000
-2.8348 4.9100 0.0000
0.0000 0.0000 6.9393
Li Ac Tc O
2 3 1 9
Direct
0.3333 0.6667 0.1710
0.6667 0.3333 0.8290
0.0000 0.0000 0.0000
0.3333 0.6667 0.7331
0.6667 0.3333 0.2669
0.0000 0.0000 0.5000
0.0000 0.5000 0.0000
0.1567 0.3134 0.3386
0.1567 0.8433 0.3386
0.3134 0.1567 0.6614
0.5000 0.0000 0.0000
0.5000 0.5000 0.0000
0.6866 0.8433 0.3386
0.8433 0.1567 0.6614
0.8433 0.6866 0.6614
```

Properties
ΔE_f (raw)   -3551 kJ/mol of formula units
Density of states at the Fermi level   0.146 states/eV/atom

Compound: Li3Ac2TcO6
Source: the Alexandria database
Functional: PBE
Structure: optimized geometry

POSCAR file:
```
Li3Ac2TcO6
1.0
2.8209 -5.6899 0.0000
2.8209 5.6899 0.0000
-1.3732 0.0000 5.1688
Li Ac Tc O
3 2 1 6
Direct
0.0000 0.0000 0.0000
0.3981 0.6019 0.0000
0.6019 0.3981 0.0000
0.1637 0.8363 0.5000
0.8363 0.1637 0.5000
0.5000 0.5000 0.5000
0.1787 0.4599 0.2622
0.2454 0.2454 0.7517
0.4599 0.1787 0.2622
0.5401 0.8213 0.7378
0.7546 0.7546 0.2483
0.8213 0.5401 0.7378
```

Properties
ΔE_f (raw)   -2477 kJ/mol of formula units
Density of states at the Fermi level   0.195 states/eV/atom

Compound: Li2Ac3TcO8
Source: the Alexandria database
Functional: PBE
Structure: optimized geometry

POSCAR file:
```
Li2Ac3TcO8
1.0
5.6101 0.0000 0.0000
-2.8051 4.8585 0.0000
0.0000 0.0000 7.1881
Li Ac Tc O
2 3 1 8
Direct
0.3333 0.6667 0.2030
0.6667 0.3333 0.7970
0.0000 0.0000 0.0000
0.3333 0.6667 0.6491
0.6667 0.3333 0.3509
0.0000 0.0000 0.5000
0.1598 0.3197 0.3302
0.1598 0.8402 0.3302
0.3197 0.1598 0.6698
0.3333 0.6667 0.9538
0.6667 0.3333 0.0462
0.6803 0.8402 0.3302
0.8402 0.1598 0.6698
0.8402 0.6803 0.6698
```

Properties
ΔE_f (raw)   -3346 kJ/mol of formula units
Density of states at the Fermi level   0.364 states/eV/atom

Compound: Li2Ac2TcO6
Source: the Alexandria database
Functional: PBE
Structure: optimized geometry

POSCAR file:
```
Li2Ac2TcO6
1.0
3.0800 -5.4689 0.0000
3.0800 5.4689 0.0000
-1.0753 0.0000 5.0465
Li Ac Tc O
2 2 1 6
Direct
0.1068 0.8932 0.0000
0.8932 0.1068 0.0000
0.3380 0.6620 0.5000
0.6620 0.3380 0.5000
0.0000 0.0000 0.5000
0.0235 0.3165 0.7163
0.2261 0.2261 0.2625
0.3165 0.0235 0.7163
0.6835 0.9765 0.2837
0.7739 0.7739 0.7375
0.9765 0.6835 0.2837
```

Properties
ΔE_f (raw)   -2434 kJ/mol of formula units

Compound: Li2AcTe2O7
Source: the Alexandria database
Functional: PBE
Structure: optimized geometry

POSCAR file:
```
Li2AcTe2O7
1.0
2.7768 1.6032 9.3757
-2.7768 1.6032 9.3757
0.0000 -3.2064 9.3757
Li Ac Te O
2 1 2 7
Direct
0.2313 0.2313 0.2313
0.7687 0.7687 0.7687
0.5000 0.5000 0.5000
0.0774 0.0774 0.0774
0.9226 0.9226 0.9226
0.0000 0.0000 0.0000
0.0959 0.4219 0.8149
0.1851 0.5781 0.9041
0.4219 0.8149 0.0959
0.5781 0.9041 0.1851
0.8149 0.0959 0.4219
0.9041 0.1851 0.5781
```

Properties
ΔE_f (raw)   -1975 kJ/mol of formula units
Density of states at the Fermi level   0.050 states/eV/atom

Compound: Li4AcTe3O12
Source: the Alexandria database
Functional: PBE
Structure: optimized geometry

POSCAR file:
```
Li4AcTe3O12
1.0
5.5188 3.1863 2.5085
-5.5188 3.1863 2.5085
0.0000 -6.3726 2.5085
Li Ac Te O
4 1 3 12
Direct
0.0000 0.0000 0.0000
0.0000 0.4288 0.5712
0.4288 0.5712 0.0000
0.5712 0.0000 0.4288
0.5000 0.5000 0.5000
0.0626 0.9374 0.5000
0.5000 0.0626 0.9374
0.9374 0.5000 0.0626
0.0000 0.6016 0.3984
0.0000 0.8292 0.1708
0.1508 0.2429 0.5261
0.1708 0.0000 0.8292
0.2429 0.5261 0.1508
0.3984 0.0000 0.6016
0.4739 0.7571 0.8492
0.5261 0.1508 0.2429
0.6016 0.3984 0.0000
0.7571 0.8492 0.4739
0.8292 0.1708 0.0000
0.8492 0.4739 0.7571
```

Properties
ΔE_f (raw)   -3164 kJ/mol of formula units
Density of states at the Fermi level   0.180 states/eV/atom

Compound: LiAcTeO
Source: the Alexandria database
Functional: PBE
Structure: optimized geometry

POSCAR file:
```
LiAcTeO
1.0
4.3492 0.0000 0.0000
0.0000 4.3492 0.0000
0.0000 0.0000 9.8813
Li Ac Te O
2 2 2 2
Direct
0.2500 0.7500 0.0000
0.7500 0.2500 0.0000
0.2500 0.2500 0.3755
0.7500 0.7500 0.6245
0.2500 0.2500 0.8254
0.7500 0.7500 0.1746
0.2500 0.7500 0.5000
0.7500 0.2500 0.5000
```

Properties
ΔE_f (raw)   -873 kJ/mol of formula units
Density of states at the Fermi level   0.000 states/eV/atom

Compound: LiAc2Te3O12
Source: the Alexandria database
Functional: PBE
Structure: optimized geometry

POSCAR file:
```
LiAc2Te3O12
1.0
3.8136 2.2018 5.8999
-3.8136 2.2018 5.8999
0.0000 -4.4035 5.8999
Li Ac Te O
1 2 3 12
Direct
0.0000 0.0000 0.0000
0.3134 0.3134 0.3134
0.6866 0.6866 0.6866
0.0000 0.0000 0.5000
0.0000 0.5000 0.0000
0.5000 0.0000 0.0000
0.0554 0.6858 0.6858
0.0925 0.0925 0.6399
0.0925 0.6399 0.0925
0.3142 0.3142 0.9446
0.3142 0.9446 0.3142
0.3601 0.9075 0.9075
0.6399 0.0925 0.0925
0.6858 0.0554 0.6858
0.6858 0.6858 0.0554
0.9075 0.3601 0.9075
0.9075 0.9075 0.3601
0.9446 0.3142 0.3142
```

Properties
ΔE_f (raw)   -2763 kJ/mol of formula units
Density of states at the Fermi level   0.200 states/eV/atom

Compound: Li2AcTeO6
Source: the Alexandria database
Functional: PBE
Structure: optimized geometry

POSCAR file:
```
Li2AcTeO6
1.0
2.6631 1.5376 5.6210
-2.6631 1.5376 5.6210
0.0000 -3.0751 5.6210
Li Ac Te O
2 1 1 6
Direct
0.1943 0.1943 0.1943
0.8057 0.8057 0.8057
0.0000 0.0000 0.0000
0.5000 0.5000 0.5000
0.1373 0.7383 0.4276
0.2617 0.5724 0.8627
0.4276 0.1373 0.7383
0.5724 0.8627 0.2617
0.7383 0.4276 0.1373
0.8627 0.2617 0.5724
```

Properties
ΔE_f (raw)   -1827 kJ/mol of formula units
Density of states at the Fermi level   0.778 states/eV/atom

Compound: LiAcTe2O6
Source: the Alexandria database
Functional: PBE
Structure: optimized geometry

POSCAR file:
```
LiAcTe2O6
1.0
5.6406 -4.4386 0.0000
5.6406 4.4386 0.0000
-4.1825 0.0000 6.1817
Li Ac Te O
2 2 4 12
Direct
0.2252 0.7748 0.7500
0.7748 0.2252 0.2500
0.1733 0.8267 0.2500
0.8267 0.1733 0.7500
0.3061 0.3058 0.2916
0.3058 0.3061 0.7916
0.6942 0.6939 0.2084
0.6939 0.6942 0.7084
0.0439 0.1896 0.1818
0.1896 0.0439 0.6818
0.1940 0.4127 0.0348
0.2480 0.5859 0.4621
0.4127 0.1940 0.5348
0.4141 0.7520 0.0379
0.5859 0.2480 0.9621
0.5873 0.8060 0.4652
0.7520 0.4141 0.5379
0.8060 0.5873 0.9652
0.8104 0.9561 0.3182
0.9561 0.8104 0.8182
```

Properties
ΔE_f (raw)   -1814 kJ/mol of formula units
Density of states at the Fermi level   0.000 states/eV/atom

Compound: LiAcTeO5
Source: the Alexandria database
Functional: PBE
Structure: optimized geometry

POSCAR file:
```
LiAcTeO5
1.0
3.2904 -4.8006 0.0000
3.2904 4.8006 0.0000
-2.3558 0.0000 7.0027
Li Ac Te O
2 2 2 10
Direct
0.1896 0.8104 0.7500
0.8104 0.1896 0.2500
0.1576 0.8424 0.2500
0.8424 0.1576 0.7500
0.5000 0.5000 0.0000
0.5000 0.5000 0.5000
0.1473 0.2537 0.4381
0.2198 0.5940 0.9152
0.2537 0.1473 0.9381
0.4060 0.7802 0.5848
0.4276 0.5724 0.2500
0.5724 0.4276 0.7500
0.5940 0.2198 0.4152
0.7463 0.8527 0.0619
0.7802 0.4060 0.0848
0.8527 0.7463 0.5619
```

Properties
ΔE_f (raw)   -1605 kJ/mol of formula units
Density of states at the Fermi level   0.000 states/eV/atom

Compound: LiAc2TeO6
Source: the Alexandria database
Functional: PBE
Structure: optimized geometry

POSCAR file:
```
LiAc2TeO6
1.0
5.8434 0.0000 0.0000
0.0000 5.9903 0.0000
-5.8050 0.0000 8.2684
Li Ac Te O
2 4 2 12
Direct
0.0000 0.0000 0.0000
0.0000 0.5000 0.5000
0.2385 0.0483 0.7490
0.2385 0.4517 0.2490
0.7615 0.5483 0.7510
0.7615 0.9517 0.2510
0.5000 0.0000 0.5000
0.5000 0.5000 0.0000
0.1720 0.1994 0.4560
0.1720 0.3006 0.9560
0.2544 0.7172 0.4516
0.2544 0.7828 0.9516
0.3437 0.0284 0.2567
0.3437 0.4716 0.7567
0.6563 0.5284 0.2433
0.6563 0.9716 0.7433
0.7456 0.2172 0.0484
0.7456 0.2828 0.5484
0.8280 0.6994 0.0440
0.8280 0.8006 0.5440
```

Properties
ΔE_f (raw)   -2287 kJ/mol of formula units
Density of states at the Fermi level   0.403 states/eV/atom